[1]
Below is a relaxed AgHg2Cl crystal, with properties calculated at the PBE-GGA level.

Output
ΔE_f (raw) = -0.0903 eV/atom
Energy above the most stable polymorph in this dataset = 2.89 kcal/mol of atoms
Size of the total moment = 0.000 μB per atom

Cell: 6.715 5.419 3.725 Å, 90.44 55.46 115.14°
Positions (direct):
1 Hg 0.000 0.000 0.000
2 Hg 0.500 0.000 0.500
3 Ag 0.000 0.500 0.500
4 Cl 0.500 0.500 0.000

[2]
Below is a relaxed AgHgCl2 crystal, with properties calculated at the PBE-GGA level.

Output
ΔE_f (raw) = -0.1488 eV/atom
Energy above the most stable polymorph in this dataset = 4.41 kcal/mol of atoms
Size of the total moment = 0.000 μB per atom

Cell: 3.442 3.443 7.533 Å, 90.00 90.00 90.00°
Positions (direct):
1 Hg 0.500 0.500 0.250
2 Ag 0.500 0.500 0.750
3 Cl 0.000 0.000 0.970
4 Cl 0.000 0.000 0.530

Number 1: Fermi-level density of states 0.6 states/eV/f.u.. Number 2: Fermi-level density of states 2.9 states/eV/f.u..